# 1
VASP calculation (GGA-PBE) on a geometry-optimized KHf2GaCu structure.

## Properties
Energy of formation from the pure elements, kJ/mol of formula units: 1081

The structure in POSCAR format:
```
KHf2GaCu
1.0
4.887 0.000 0.000
0.000 4.887 0.000
0.000 0.000 5.096
K Hf Ga Cu
1 2 1 1
Direct
0.000 0.000 0.000
0.000 0.500 0.000
0.500 0.000 0.000
0.000 0.000 0.500
0.500 0.500 0.500
```

---

# 2
VASP calculation (GGA-PBE) on a geometry-optimized LiHfGaCu structure.

## Properties
Energy of formation from the pure elements, kJ/mol of formula units: -83

The structure in POSCAR format:
```
LiHfGaCu
1.0
6.337 0.000 0.000
0.000 6.337 0.000
0.000 0.000 6.337
Li Hf Ga Cu
4 4 4 4
Direct
0.000 0.000 0.000
0.000 0.500 0.500
0.500 0.000 0.500
0.500 0.500 0.000
0.000 0.000 0.500
0.000 0.500 0.000
0.500 0.000 0.000
0.500 0.500 0.500
0.250 0.250 0.250
0.250 0.750 0.750
0.750 0.250 0.750
0.750 0.750 0.250
0.250 0.250 0.750
0.250 0.750 0.250
0.750 0.250 0.250
0.750 0.750 0.750
```

---

# 3
VASP calculation (GGA-PBE) on a geometry-optimized Hf2GaCuN structure.

## Properties
Formation energy (no corrections), eV per atom: 1.3887

The structure in POSCAR format:
```
Hf2GaCuN
1.0
4.939 0.000 0.000
0.000 4.939 0.000
0.000 0.000 4.173
Hf Ga Cu N
2 1 1 1
Direct
0.000 0.500 0.000
0.500 0.000 0.000
0.000 0.000 0.000
0.000 0.000 0.500
0.500 0.500 0.500
```

---

# 4
VASP calculation (GGA-PBE) on a geometry-optimized NdHfGaCu structure.

## Properties
Energy of formation from the pure elements, kJ/mol of formula units: -67

The structure in POSCAR format:
```
NdHfGaCu
1.0
6.939 0.000 0.000
0.000 6.939 0.000
0.000 0.000 6.939
Nd Hf Ga Cu
4 4 4 4
Direct
0.000 0.000 0.000
0.000 0.500 0.500
0.500 0.000 0.500
0.500 0.500 0.000
0.000 0.000 0.500
0.000 0.500 0.000
0.500 0.000 0.000
0.500 0.500 0.500
0.250 0.250 0.750
0.250 0.750 0.250
0.750 0.250 0.250
0.750 0.750 0.750
0.250 0.250 0.250
0.250 0.750 0.750
0.750 0.250 0.750
0.750 0.750 0.250
```

---

# 5
VASP calculation (GGA-PBE) on a geometry-optimized HfGaCuOs structure.

## Properties
Energy of formation from the pure elements, kJ/mol of formula units: -89

The structure in POSCAR format:
```
HfGaCuOs
1.0
6.296 0.000 0.000
0.000 6.296 0.000
0.000 0.000 6.296
Hf Ga Cu Os
4 4 4 4
Direct
0.000 0.000 0.000
0.000 0.500 0.500
0.500 0.000 0.500
0.500 0.500 0.000
0.000 0.000 0.500
0.000 0.500 0.000
0.500 0.000 0.000
0.500 0.500 0.500
0.250 0.250 0.750
0.250 0.750 0.250
0.750 0.250 0.250
0.750 0.750 0.750
0.250 0.250 0.250
0.250 0.750 0.750
0.750 0.250 0.750
0.750 0.750 0.250
```

---

# 6
VASP calculation (GGA-PBE) on a geometry-optimized HfGaCuOs2 structure.

## Properties
Energy of formation from the pure elements, kJ/mol of formula units: 697

The structure in POSCAR format:
```
HfGaCuOs2
1.0
4.504 0.000 0.000
0.000 4.504 0.000
0.000 0.000 4.794
Hf Ga Cu Os
1 1 1 2
Direct
0.000 0.000 0.000
0.000 0.000 0.500
0.500 0.500 0.000
0.000 0.500 0.500
0.500 0.000 0.500
```